Record 1
Below is Na2Zn2As after structural relaxation, with properties calculated at the PBE level.

abc: 6.723 6.723 4.834
angles: 90.00 90.00 90.00
Atoms (fractional coordinates):
Na1 0.180 0.320 0.000
Na2 0.320 0.820 0.000
Na3 0.680 0.180 0.000
Na4 0.820 0.680 0.000
Zn1 0.128 0.628 0.500
Zn2 0.372 0.128 0.500
Zn3 0.628 0.872 0.500
Zn4 0.872 0.372 0.500
As1 0.000 0.000 0.500
As2 0.500 0.500 0.500

E	-2.10	eV/atom

---

Record 2
Below is Ca2Ga2Si after structural relaxation, with properties calculated at the PBE level.

abc: 6.949 6.949 4.691
angles: 90.00 90.00 90.00
Atoms (fractional coordinates):
Ca1 0.176 0.324 0.000
Ca2 0.324 0.824 0.000
Ca3 0.676 0.176 0.000
Ca4 0.824 0.676 0.000
Ga1 0.131 0.631 0.500
Ga2 0.369 0.131 0.500
Ga3 0.631 0.869 0.500
Ga4 0.869 0.369 0.500
Si1 0.000 0.000 0.500
Si2 0.500 0.500 0.500

E	-3.45	eV/atom
formation energy from raw total energies	-1.76	eV per formula unit
relative energy among the computed polymorphs	121	meV/atom

---

Record 3
Below is Er2BeRu2 after structural relaxation, with properties calculated at the PBE level.

abc: 5.885 5.885 6.671
angles: 102.78 102.78 54.40
Atoms (fractional coordinates):
Er1 0.017 0.274 0.141
Er2 0.274 0.017 0.641
Er3 0.726 0.983 0.359
Er4 0.983 0.726 0.859
Be1 0.386 0.614 0.250
Be2 0.614 0.386 0.750
Ru1 0.245 0.500 0.485
Ru2 0.500 0.245 0.985
Ru3 0.500 0.755 0.015
Ru4 0.755 0.500 0.515

E	-6.61	eV/atom
relative energy among the computed polymorphs	92	meV/atom

---

Record 4
Below is Tb3Nd8Sm3 after structural relaxation, with properties calculated at the PBE level.

abc: 9.868 9.868 9.868
angles: 146.27 112.51 77.61
Atoms (fractional coordinates):
Tb1 0.000 0.000 0.000
Tb2 0.182 0.682 0.500
Tb3 0.818 0.318 0.500
Nd1 0.118 0.276 0.842
Nd2 0.233 0.896 0.337
Nd3 0.433 0.276 0.158
Nd4 0.441 0.104 0.337
Nd5 0.559 0.896 0.663
Nd6 0.567 0.724 0.842
Nd7 0.767 0.104 0.663
Nd8 0.882 0.724 0.158
Sm1 0.196 0.500 0.696
Sm2 0.500 0.500 0.000
Sm3 0.804 0.500 0.304

E	-4.62	eV/atom

---

Record 5
Below is Er7Tm3Mg after structural relaxation, with properties calculated at the PBE level.

abc: 6.895 6.895 8.445
angles: 90.00 90.00 120.00
Atoms (fractional coordinates):
Er1 0.000 0.000 0.000
Er2 0.164 0.327 0.669
Er3 0.164 0.836 0.669
Er4 0.500 0.001 0.997
Er5 0.500 0.500 0.997
Er6 0.673 0.836 0.669
Er7 0.999 0.500 0.997
Tm1 0.330 0.165 0.331
Tm2 0.835 0.165 0.331
Tm3 0.835 0.670 0.331
Mg1 0.667 0.333 0.669

E	-4.07	eV/atom

---

Record 6
Below is Ba2Li2TlO4 after structural relaxation, with properties calculated at the PBE level.

abc: 7.078 7.078 6.179
angles: 105.95 105.95 29.29
Atoms (fractional coordinates):
Ba1 0.136 0.136 0.065
Ba2 0.864 0.864 0.935
Li1 0.320 0.320 0.485
Li2 0.680 0.680 0.515
Tl1 0.000 0.000 0.500
O1 0.221 0.221 0.701
O2 0.458 0.458 0.734
O3 0.542 0.542 0.266
O4 0.779 0.779 0.299

E	-5.03	eV/atom
formation energy from raw total energies	-15.44	eV per formula unit

---

Record 7
Below is PrLuPu2 after structural relaxation, with properties calculated at the PBE level.

abc: 4.848 4.848 5.035
angles: 90.00 90.00 90.00
Atoms (fractional coordinates):
Pr1 0.000 0.000 0.000
Lu1 0.500 0.500 0.000
Pu1 0.000 0.500 0.500
Pu2 0.500 0.000 0.500

E	-9.29	eV/atom
relative energy among the computed polymorphs	10	meV/atom

---

Record 8
Below is TbCe3Se6 after structural relaxation, with properties calculated at the PBE level.

abc: 7.052 7.797 12.630
angles: 90.00 123.17 90.00
Atoms (fractional coordinates):
Tb1 0.000 0.000 0.000
Tb2 0.000 0.500 0.500
Ce1 0.205 0.103 0.748
Ce2 0.205 0.397 0.248
Ce3 0.500 0.000 0.500
Ce4 0.500 0.500 0.000
Ce5 0.795 0.603 0.752
Ce6 0.795 0.897 0.252
Se1 0.091 0.185 0.423
Se2 0.091 0.315 0.923
Se3 0.247 0.681 0.421
Se4 0.247 0.819 0.921
Se5 0.404 0.061 0.246
Se6 0.404 0.439 0.746
Se7 0.596 0.561 0.254
Se8 0.596 0.939 0.754
Se9 0.753 0.181 0.079
Se10 0.753 0.319 0.579
Se11 0.909 0.685 0.077
Se12 0.909 0.815 0.577

E	-6.11	eV/atom
formation energy from raw total energies	-17.77	eV per formula unit
relative energy among the computed polymorphs	0	meV/atom

---

Record 9
Below is PmMnIr2 after structural relaxation, with properties calculated at the PBE level.

abc: 4.410 4.410 3.704
angles: 90.00 90.00 90.00
Atoms (fractional coordinates):
Pm1 0.000 0.000 0.000
Mn1 0.500 0.500 0.000
Ir1 0.000 0.500 0.500
Ir2 0.500 0.000 0.500

E	-8.09	eV/atom

---

Record 10
Below is SrLa2Pd after structural relaxation, with properties calculated at the PBE level.

abc: 10.341 10.341 10.341
angles: 23.80 23.80 23.80
Atoms (fractional coordinates):
Sr1 0.000 0.000 0.000
La1 0.222 0.222 0.222
La2 0.448 0.448 0.448
Pd1 0.835 0.835 0.835

E	-4.49	eV/atom
relative energy among the computed polymorphs	31	meV/atom

---

Record 11
Below is SrPr2Nd after structural relaxation, with properties calculated at the PBE level.

abc: 12.753 12.753 12.753
angles: 17.13 17.13 17.13
Atoms (fractional coordinates):
Sr1 0.000 0.000 0.000
Pr1 0.245 0.245 0.245
Pr2 0.423 0.423 0.423
Nd1 0.834 0.834 0.834

E	-3.93	eV/atom
relative energy among the computed polymorphs	4	meV/atom

---

Record 12
Below is ZrScB2As after structural relaxation, with properties calculated at the PBE level.

abc: 4.236 4.236 4.767
angles: 90.00 90.00 90.00
Atoms (fractional coordinates):
Zr1 0.000 0.000 0.000
Sc1 0.500 0.500 0.000
B1 0.000 0.500 0.500
B2 0.500 0.000 0.500
As1 0.500 0.500 0.500

E	-5.43	eV/atom

---

Record 13
Below is NaBe2Co2 after structural relaxation, with properties calculated at the PBE level.

abc: 6.969 6.969 2.353
angles: 90.00 90.00 90.00
Atoms (fractional coordinates):
Na1 0.000 0.000 0.000
Na2 0.500 0.500 0.000
Be1 0.165 0.335 0.500
Be2 0.335 0.835 0.500
Be3 0.665 0.165 0.500
Be4 0.835 0.665 0.500
Co1 0.124 0.624 0.000
Co2 0.376 0.124 0.000
Co3 0.624 0.876 0.000
Co4 0.876 0.376 0.000

E	-4.41	eV/atom
relative energy among the computed polymorphs	0	meV/atom

---

Record 14
Below is NaCa2NiN after structural relaxation, with properties calculated at the PBE level.

abc: 5.502 5.502 4.298
angles: 90.00 90.00 90.00
Atoms (fractional coordinates):
Na1 0.000 0.000 0.000
Ca1 0.000 0.500 0.000
Ca2 0.500 0.000 0.000
Ni1 0.000 0.000 0.500
N1 0.500 0.500 0.500

E	-2.43	eV/atom
formation energy from raw total energies	7.30	eV per formula unit
relative energy among the computed polymorphs	1683	meV/atom

---

Record 15
Below is Cd3Ag after structural relaxation, with properties calculated at the PBE level.

abc: 6.577 6.577 6.577
angles: 153.44 135.95 52.18
Atoms (fractional coordinates):
Cd1 0.000 0.000 0.000
Cd2 0.285 0.785 0.500
Cd3 0.715 0.215 0.500
Ag1 0.500 0.500 0.000

E	-1.41	eV/atom

---

Record 16
Below is ZnNiBr after structural relaxation, with properties calculated at the PBE level.

abc: 6.494 6.022 3.376
angles: 82.25 66.75 31.00
Atoms (fractional coordinates):
Zn1 0.000 0.000 0.000
Ni1 0.649 0.649 0.351
Br1 0.312 0.312 0.688

E	-2.67	eV/atom
formation energy from raw total energies	0.73	eV per formula unit
relative energy among the computed polymorphs	483	meV/atom

---

Record 17
Below is K2Cd2Pb3 after structural relaxation, with properties calculated at the PBE level.

abc: 6.714 6.714 8.823
angles: 114.61 114.61 42.75
Atoms (fractional coordinates):
K1 0.148 0.148 0.288
K2 0.852 0.852 0.712
Cd1 0.139 0.139 0.725
Cd2 0.861 0.861 0.275
Pb1 0.374 0.374 0.053
Pb2 0.500 0.500 0.500
Pb3 0.626 0.626 0.947

E	-2.25	eV/atom

---

Record 18
Below is Tb2PuN3 after structural relaxation, with properties calculated at the PBE level.

abc: 6.911 6.911 8.434
angles: 108.25 108.25 28.84
Atoms (fractional coordinates):
Tb1 0.168 0.168 0.335
Tb2 0.331 0.331 0.164
Tb3 0.669 0.669 0.836
Tb4 0.832 0.832 0.665
Pu1 0.000 0.000 0.500
Pu2 0.500 0.500 0.000
N1 0.026 0.026 0.808
N2 0.308 0.308 0.863
N3 0.365 0.365 0.473
N4 0.635 0.635 0.527
N5 0.692 0.692 0.137
N6 0.974 0.974 0.192

E	-9.26	eV/atom
formation energy from raw total energies	-7.00	eV per formula unit

---

Record 19
Below is SmEr3Al4 after structural relaxation, with properties calculated at the PBE level.

abc: 5.073 5.073 7.227
angles: 90.00 90.00 90.00
Atoms (fractional coordinates):
Sm1 0.000 0.000 0.000
Er1 0.000 0.000 0.500
Er2 0.500 0.500 0.000
Er3 0.500 0.500 0.500
Al1 0.000 0.500 0.257
Al2 0.000 0.500 0.743
Al3 0.500 0.000 0.257
Al4 0.500 0.000 0.743

E	-4.56	eV/atom

---

Record 20
Below is TaCdTc after structural relaxation, with properties calculated at the PBE level.

abc: 6.902 6.902 6.902
angles: 156.24 156.24 33.86
Atoms (fractional coordinates):
Ta1 0.000 0.000 0.000
Cd1 0.681 0.681 0.000
Tc1 0.347 0.347 0.000

E	-7.33	eV/atom
relative energy among the computed polymorphs	312	meV/atom

---

Record 21
Below is SiAgSe2 after structural relaxation, with properties calculated at the PBE level.

abc: 7.417 7.417 7.417
angles: 133.65 133.65 67.64
Atoms (fractional coordinates):
Si1 0.000 0.000 0.000
Si2 0.750 0.250 0.500
Ag1 0.250 0.750 0.500
Ag2 0.500 0.500 0.000
Se1 0.087 0.625 0.962
Se2 0.375 0.337 0.462
Se3 0.663 0.125 0.038
Se4 0.875 0.913 0.538

E	-3.88	eV/atom
formation energy from raw total energies	-0.27	eV per formula unit

---

Record 22
Below is Ag2S2F after structural relaxation, with properties calculated at the PBE level.

abc: 5.385 5.004 7.543
angles: 90.00 101.71 90.00
Atoms (fractional coordinates):
Ag1 0.121 0.250 0.339
Ag2 0.277 0.750 0.001
Ag3 0.723 0.250 0.999
Ag4 0.879 0.750 0.661
S1 0.019 0.250 0.798
S2 0.215 0.750 0.457
S3 0.785 0.250 0.543
S4 0.981 0.750 0.202
F1 0.414 0.250 0.148
F2 0.586 0.750 0.852

E	-3.44	eV/atom
formation energy from raw total energies	-1.38	eV per formula unit

---

Record 23
Below is Er3SbSe2 after structural relaxation, with properties calculated at the PBE level.

abc: 7.955 7.955 7.955
angles: 125.18 98.25 106.28
Atoms (fractional coordinates):
Er1 0.000 0.227 0.227
Er2 0.000 0.773 0.773
Er3 0.500 0.000 0.000
Er4 0.500 0.227 0.727
Er5 0.500 0.500 0.500
Er6 0.500 0.773 0.273
Sb1 0.222 0.972 0.250
Sb2 0.778 0.028 0.750
Se1 0.243 0.702 0.541
Se2 0.340 0.298 0.041
Se3 0.660 0.702 0.959
Se4 0.757 0.298 0.459

E	-5.29	eV/atom
formation energy from raw total energies	-6.94	eV per formula unit
relative energy among the computed polymorphs	342	meV/atom

---

Record 24
Below is GeSe2IBr after structural relaxation, with properties calculated at the PBE level.

abc: 5.196 5.196 5.134
angles: 90.00 90.00 90.00
Atoms (fractional coordinates):
Ge1 0.000 0.000 0.000
Se1 0.000 0.500 0.000
Se2 0.500 0.000 0.000
I1 0.500 0.500 0.500
Br1 0.000 0.000 0.500

E	-2.64	eV/atom
formation energy from raw total energies	1.62	eV per formula unit
relative energy among the computed polymorphs	0	meV/atom

---

Number 1: total magnetic moment 0.000 μB/cell. Number 2: total magnetic moment 0.000 μB/cell. Number 3: total magnetic moment 0.000 μB/cell. Number 4: total magnetic moment 0.000 μB/cell. Number 5: total magnetic moment 0.004 μB/cell. Number 6: total magnetic moment 0.000 μB/cell. Number 7: total magnetic moment 12.339 μB/cell. Number 8: total magnetic moment 6.006 μB/cell. Number 9: total magnetic moment 4.618 μB/cell. Number 10: total magnetic moment 0.001 μB/cell. Number 11: total magnetic moment 0.000 μB/cell. Number 12: total magnetic moment 0.000 μB/cell. Number 13: total magnetic moment 3.683 μB/cell. Number 14: total magnetic moment 0.582 μB/cell. Number 15: total magnetic moment 0.000 μB/cell. Number 16: total magnetic moment 0.000 μB/cell. Number 17: total magnetic moment 0.000 μB/cell. Number 18: total magnetic moment 9.890 μB/cell. Number 19: total magnetic moment 0.000 μB/cell. Number 20: total magnetic moment 0.966 μB/cell. Number 21: total magnetic moment 0.000 μB/cell. Number 22: total magnetic moment 0.000 μB/cell. Number 23: total magnetic moment 0.426 μB/cell. Number 24: total magnetic moment 0.000 μB/cell.